DFT (PBE-GGA) results for Ho8Tm2Zr after structural relaxation.

Calculated values
Density of states at the Fermi level in states/eV/f.u.: 17.9
Distance to the lowest polymorph of the same formula in eV per atom: 0.1718
E_form in eV per atom: 0.215
Total DFT energy (no corrections) in eV per atom: -4.70
Space group: C2/m, No. 12

Cell: 8.8498 8.8498 6.5105 Å, 101.34 101.34 42.62°
With the nearest neighbours (Å) after each atom.
Atoms (fractional coordinates):
Ho: 0.0937 0.0937 0.9147  8 Ho 3.40-3.73, 3 Tm 3.66-3.68, 2 Zr 3.66
Ho: 0.1638 0.6753 0.6111  1 Zr 3.08, 5 Ho 3.14-3.40, 1 Tm 3.41
Ho: 0.2534 0.2534 0.6596  5 Ho 3.27-3.40, 4 Tm 3.30-3.64
Ho: 0.3247 0.8362 0.3889  1 Zr 3.08, 5 Ho 3.14-3.40, 1 Tm 3.41
Ho: 0.6753 0.1638 0.6111  1 Zr 3.08, 5 Ho 3.14-3.40, 1 Tm 3.41
Ho: 0.7466 0.7466 0.3404  5 Ho 3.27-3.40, 4 Tm 3.30-3.64
Ho: 0.8362 0.3247 0.3889  1 Zr 3.08, 5 Ho 3.14-3.40, 1 Tm 3.41
Ho: 0.9063 0.9063 0.0853  8 Ho 3.40-3.73, 3 Tm 3.66-3.68, 2 Zr 3.66
Tm: 0.3145 0.3145 0.1764  9 Ho 3.30-3.68, 1 Zr 3.49
Tm: 0.6855 0.6855 0.8236  9 Ho 3.30-3.68, 1 Zr 3.49
Zr: 0.5000 0.5000 0.0000  4 Ho 3.08